## Er2MnAl5Co2 (GGA-PBE)

Data for a relaxed Er2MnAl5Co2 crystal.

DFT formation energy in eV/atom: -0.3911
DFT total energy in eV per atom: -5.51
DOS at the Fermi energy in states/eV/cell: 11.8

The structure in POSCAR format:
```
Er2MnAl5Co2
1.0
-2.646 -2.745 1.228
1.227 -4.669 -7.796
6.774 -4.774 3.926
Er Al Co Mn
4 10 4 2
Direct
0.000 0.821 0.679
0.000 0.679 0.179
0.000 0.179 0.321
0.000 0.321 0.821
0.500 0.211 0.064
0.500 0.000 0.500
0.500 0.789 0.936
0.500 0.711 0.436
0.500 0.564 0.711
0.500 0.936 0.211
0.500 0.500 0.000
0.500 0.289 0.564
0.500 0.436 0.289
0.500 0.064 0.789
0.000 0.115 0.615
0.000 0.885 0.385
0.000 0.385 0.115
0.000 0.615 0.885
0.000 0.500 0.500
0.000 0.000 0.000
```